Here is an optimized crystal structure of TbSm2UP4 from Alexandria. Energies are from PBE-GGA.

a = 6.987 Å, b = 4.026 Å, c = 7.000 Å
α = 90.00°, β = 109.19°, γ = 90.00°
Atoms (fractional coordinates):
Tb (0.000, 0.000, 0.000)
Sm (0.000, 0.500, 0.500)
Sm (0.500, 0.000, 0.500)
U (0.500, 0.500, 0.000)
P (0.254, 0.500, 0.240)
P (0.258, 0.000, 0.762)
P (0.742, 0.000, 0.238)
P (0.746, 0.500, 0.760)

Results
Energy of formation from the pure elements = -1.4323 eV/atom
Total energy = -7.3069 eV per atom
Size of the total moment = 2.05 μB/f.u.